The following is a DFT calculation (PBE) of a geometry-optimized Re2PCl structure.

The structure in POSCAR format:
```
Re2PCl
1.0
2.968 0.000 0.000
0.000 2.944 0.000
-1.433 0.000 8.096
Re P Cl
2 1 1
Direct
0.000 0.000 0.000
0.397 0.500 0.787
0.583 0.500 0.173
0.284 0.000 0.556
```

SG: No. 6
ΔE_f (raw) in eV/atom: 0.03
Excess energy over the best structure of this formula in the dataset in eV per atom: 0.000

The following is a DFT calculation (PBE) of a geometry-optimized BC3 structure.

The structure in POSCAR format:
```
BC3
1.0
2.256 -3.911 0.000
2.256 3.911 0.000
-1.406 0.000 4.222
B C
3 9
Direct
0.000 0.000 0.000
0.171 0.840 0.514
0.840 0.171 0.514
0.150 0.150 0.401
0.319 0.971 0.907
0.343 0.675 0.018
0.469 0.788 0.386
0.507 0.507 0.515
0.622 0.622 0.887
0.675 0.343 0.018
0.788 0.469 0.386
0.971 0.319 0.907
```

SG: No. 8
DFT formation energy in eV/f.u.: 1.335
Excess energy over the best structure of this formula in the dataset in eV per atom: 0.093

The following is a DFT calculation (PBE) of a geometry-optimized Li4NdY3Te8 structure.

The structure in POSCAR format:
```
Li4NdY3Te8
1.0
4.375 2.526 7.077
-4.375 2.526 7.077
0.000 -5.051 7.077
Li Nd Y Te
4 1 3 8
Direct
0.000 0.000 0.000
0.000 0.500 0.500
0.500 0.000 0.500
0.500 0.500 0.000
0.500 0.500 0.500
0.000 0.000 0.500
0.000 0.500 0.000
0.500 0.000 0.000
0.244 0.244 0.754
0.244 0.754 0.244
0.246 0.756 0.756
0.252 0.252 0.252
0.748 0.748 0.748
0.754 0.244 0.244
0.756 0.246 0.756
0.756 0.756 0.246
```

SG: No. 166
ΔE_f (raw) in eV/atom: -1.30

The following is a DFT calculation (PBE) of a geometry-optimized Tc3AgOs structure.

The structure in POSCAR format:
```
Tc3AgOs
1.0
4.704 0.000 0.000
0.000 4.704 0.000
0.000 0.000 4.704
Tc Ag Os
3 1 1
Direct
0.000 0.000 0.500
0.000 0.500 0.000
0.500 0.000 0.000
0.500 0.500 0.500
0.000 0.000 0.000
```

SG: No. 221
DFT formation energy in eV/f.u.: 8.565
Excess energy over the best structure of this formula in the dataset in eV per atom: 0.000

The following is a DFT calculation (PBE) of a geometry-optimized Ca6AcMg2 structure.

The structure in POSCAR format:
```
Ca6AcMg2
1.0
5.270 0.000 0.000
0.000 5.270 0.000
0.000 0.000 12.723
Ca Ac Mg
6 1 2
Direct
0.000 0.000 0.000
0.000 0.500 0.231
0.000 0.500 0.769
0.500 0.000 0.231
0.500 0.000 0.769
0.500 0.500 0.000
0.000 0.000 0.500
0.500 0.500 0.391
0.500 0.500 0.609
```

SG: No. 123
DFT formation energy in eV/f.u.: 0.600

The following is a DFT calculation (PBE) of a geometry-optimized DyZn9Ni3 structure.

The structure in POSCAR format:
```
DyZn9Ni3
1.0
2.507 -6.213 0.000
2.507 6.213 0.000
-2.436 0.000 6.104
Dy Zn Ni
1 9 3
Direct
0.000 0.000 0.000
0.020 0.669 0.661
0.276 0.501 0.783
0.331 0.980 0.339
0.499 0.724 0.217
0.500 0.500 0.500
0.501 0.276 0.783
0.669 0.020 0.661
0.724 0.499 0.217
0.980 0.331 0.339
0.000 0.000 0.500
0.000 0.500 0.000
0.500 0.000 0.000
```

SG: No. 12
DFT formation energy in eV/f.u.: -3.536

The following is a DFT calculation (PBE) of a geometry-optimized Ba2TaSe5 structure.

The structure in POSCAR format:
```
Ba2TaSe5
1.0
-3.731 3.731 4.603
3.731 -3.731 4.603
3.731 3.731 -4.603
Ba Ta Se
2 1 5
Direct
0.000 0.500 0.500
0.500 0.000 0.500
0.298 0.298 0.000
0.008 0.008 0.526
0.008 0.482 0.000
0.482 0.008 0.000
0.482 0.482 0.474
0.554 0.554 0.000
```

SG: No. 107
ΔE_f (raw) in eV/atom: -1.26

The following is a DFT calculation (PBE) of a geometry-optimized Cr2MoPt structure.

The structure in POSCAR format:
```
Cr2MoPt
1.0
2.663 0.000 0.000
0.000 3.891 0.000
-0.745 0.000 5.352
Cr Mo Pt
2 1 1
Direct
0.000 0.000 0.000
0.374 0.500 0.200
0.829 0.000 0.447
0.416 0.500 0.726
```

SG: No. 6
DFT formation energy in eV/f.u.: 0.050

The following is a DFT calculation (PBE) of a geometry-optimized TbZrNi structure.

The structure in POSCAR format:
```
TbZrNi
1.0
-1.670 1.670 5.732
1.670 -1.670 5.732
1.670 1.670 -5.732
Tb Zr Ni
1 1 1
Direct
0.000 0.000 0.000
0.286 0.286 0.000
0.673 0.673 0.000
```

SG: No. 107
DFT formation energy in eV/f.u.: -0.487
Excess energy over the best structure of this formula in the dataset in eV per atom: 0.040

The following is a DFT calculation (PBE) of a geometry-optimized AcUS2N structure.

The structure in POSCAR format:
```
AcUS2N
1.0
3.961 0.000 0.000
0.000 3.961 0.000
0.000 0.000 14.887
Ac U S N
2 2 4 2
Direct
0.250 0.250 0.133
0.750 0.750 0.867
0.250 0.250 0.576
0.750 0.750 0.424
0.250 0.250 0.326
0.250 0.250 0.917
0.750 0.750 0.083
0.750 0.750 0.674
0.250 0.750 0.500
0.750 0.250 0.500
```

SG: No. 129
ΔE_f (raw) in eV/atom: -1.67

The following is a DFT calculation (PBE) of a geometry-optimized CaInPb2 structure.

The structure in POSCAR format:
```
CaInPb2
1.0
1.894 1.093 10.038
-1.894 1.093 10.038
0.000 -2.187 10.038
Ca In Pb
1 1 2
Direct
0.000 0.000 0.000
0.500 0.500 0.500
0.246 0.246 0.246
0.754 0.754 0.754
```

SG: No. 166
DFT formation energy in eV/f.u.: -0.504

The following is a DFT calculation (PBE) of a geometry-optimized MgScAl3 structure.

The structure in POSCAR format:
```
MgScAl3
1.0
4.921 0.000 0.000
0.000 4.921 0.000
0.000 0.000 4.921
Mg Sc Al
1 1 3
Direct
0.000 0.000 0.000
0.500 0.500 0.500
0.000 0.000 0.500
0.000 0.500 0.000
0.500 0.000 0.000
```

SG: No. 221
DFT formation energy in eV/f.u.: 3.531
Excess energy over the best structure of this formula in the dataset in eV per atom: 0.000

The following is a DFT calculation (PBE) of a geometry-optimized Ir4N2O structure.

The structure in POSCAR format:
```
Ir4N2O
1.0
-1.964 1.964 6.513
1.964 -1.964 6.513
1.964 1.964 -6.513
Ir N O
4 2 1
Direct
0.000 0.500 0.500
0.233 0.233 0.000
0.500 0.000 0.500
0.767 0.767 0.000
0.091 0.091 0.000
0.909 0.909 0.000
0.500 0.500 0.000
```

SG: No. 139
ΔE_f (raw) in eV/atom: 1.20

The following is a DFT calculation (PBE) of a geometry-optimized Pr6Zn23 structure.

The structure in POSCAR format:
```
Pr6Zn23
1.0
0.000 6.499 6.499
6.499 0.000 6.499
6.499 6.499 0.000
Pr Zn
6 23
Direct
0.214 0.214 0.786
0.214 0.786 0.214
0.214 0.786 0.786
0.786 0.214 0.214
0.786 0.214 0.786
0.786 0.786 0.214
0.000 0.000 0.500
0.000 0.500 0.000
0.000 0.500 0.500
0.124 0.625 0.625
0.174 0.174 0.174
0.174 0.174 0.479
0.174 0.479 0.174
0.375 0.375 0.375
0.375 0.375 0.876
0.375 0.876 0.375
0.479 0.174 0.174
0.500 0.000 0.000
0.500 0.000 0.500
0.500 0.500 0.000
0.500 0.500 0.500
0.521 0.826 0.826
0.625 0.124 0.625
0.625 0.625 0.124
0.625 0.625 0.625
0.826 0.521 0.826
0.826 0.826 0.521
0.826 0.826 0.826
0.876 0.375 0.375
```

SG: No. 225
DFT formation energy in eV/f.u.: -8.505

The following is a DFT calculation (PBE) of a geometry-optimized NpCo12Ge6 structure.

The structure in POSCAR format:
```
NpCo12Ge6
1.0
5.308 3.064 2.623
-5.308 3.064 2.623
0.000 -6.129 2.623
Np Co Ge
1 12 6
Direct
0.000 0.000 0.000
0.124 0.500 0.876
0.124 0.876 0.500
0.180 0.422 0.422
0.422 0.180 0.422
0.422 0.422 0.180
0.500 0.124 0.876
0.500 0.876 0.124
0.578 0.578 0.820
0.578 0.820 0.578
0.820 0.578 0.578
0.876 0.124 0.500
0.876 0.500 0.124
0.252 0.252 0.705
0.252 0.705 0.252
0.295 0.748 0.748
0.705 0.252 0.252
0.748 0.295 0.748
0.748 0.748 0.295
```

SG: No. 166
DFT formation energy in eV/f.u.: 0.655

The following is a DFT calculation (PBE) of a geometry-optimized Be2GaCuAg structure.

The structure in POSCAR format:
```
Be2GaCuAg
1.0
4.202 0.000 0.000
0.000 4.202 0.000
0.000 0.000 4.533
Be Ga Cu Ag
2 1 1 1
Direct
0.000 0.500 0.000
0.500 0.000 0.000
0.000 0.000 0.000
0.000 0.000 0.500
0.500 0.500 0.500
```

SG: No. 123
DFT formation energy in eV/f.u.: 3.477

The following is a DFT calculation (PBE) of a geometry-optimized Sr3Cd4Cu2 structure.

The structure in POSCAR format:
```
Sr3Cd4Cu2
1.0
5.931 -2.409 0.000
5.931 2.409 0.000
-2.780 0.000 8.919
Sr Cd Cu
3 4 2
Direct
0.000 0.000 0.000
0.329 0.329 0.345
0.671 0.671 0.655
0.049 0.049 0.373
0.279 0.279 0.931
0.721 0.721 0.069
0.951 0.951 0.627
0.397 0.397 0.725
0.603 0.603 0.275
```

SG: No. 12
DFT formation energy in eV/f.u.: -1.886

The following is a DFT calculation (PBE) of a geometry-optimized CdAg2Hg structure.

The structure in POSCAR format:
```
CdAg2Hg
1.0
3.421 0.000 0.000
0.000 3.421 0.000
0.000 0.000 6.768
Cd Ag Hg
1 2 1
Direct
0.000 0.000 0.000
0.500 0.500 0.243
0.500 0.500 0.757
0.000 0.000 0.500
```

SG: No. 123
DFT formation energy in eV/f.u.: 0.088
Excess energy over the best structure of this formula in the dataset in eV per atom: 0.015

The following is a DFT calculation (PBE) of a geometry-optimized Os4Br structure.

The structure in POSCAR format:
```
Os4Br
1.0
4.471 0.000 0.000
0.000 4.471 0.000
0.000 0.000 4.471
Os Br
4 1
Direct
0.000 0.000 0.000
0.000 0.500 0.500
0.500 0.000 0.500
0.500 0.500 0.000
0.500 0.500 0.500
```

SG: No. 221
ΔE_f (raw) in eV/atom: 2.82
Excess energy over the best structure of this formula in the dataset in eV per atom: 1.765

The following is a DFT calculation (PBE) of a geometry-optimized La2CdInNi structure.

The structure in POSCAR format:
```
La2CdInNi
1.0
5.406 0.000 0.000
0.000 5.406 0.000
0.000 0.000 4.945
La Cd In Ni
2 1 1 1
Direct
0.000 0.500 0.000
0.500 0.000 0.000
0.000 0.000 0.500
0.500 0.500 0.500
0.500 0.500 0.000
```

SG: No. 123
DFT formation energy in eV/f.u.: -1.491
Excess energy over the best structure of this formula in the dataset in eV per atom: 0.004